# 1
## KSc2HgCl (PBE)

Data for a relaxed structure of KSc2HgCl.

It has space group P4/mmm (No. 123), with a = 5.319 Å, b = 5.319 Å, c = 7.178 Å, α = 90.00°, β = 90.00° and γ = 90.00°. The inequivalent atoms are K at (0.000, 0.000, 0.000), Sc at (0.000, 0.500, 0.500), Hg at (0.500, 0.500, 0.500) and Cl at (0.500, 0.500, 0.000).

The volume is 40.6 A^3/atom. The calculation puts the total energy at -3.0306 eV/atom. The total magnetization comes out at 1.700 μB per formula unit. The formation energy without anion corrections comes out at 15 kJ per mole of atoms.

# 2
## KHgSe2Cl (PBE)

Data for a relaxed structure of KHgSe2Cl.

It has space group P4/mmm (No. 123), with a = 6.472 Å, b = 6.472 Å, c = 5.781 Å, α = 90.00°, β = 90.00° and γ = 90.00°. The inequivalent atoms are K at (0.000, 0.000, 0.000), Hg at (0.500, 0.500, 0.500), Se at (0.000, 0.500, 0.000) and Cl at (0.000, 0.000, 0.500).

The volume is 48.4 A^3/atom. The calculation puts the total energy at -1.7279 eV/atom. The total magnetization comes out at 4.000 μB per formula unit. The formation energy without anion corrections comes out at 30 kJ per mole of atoms.

# 3
## KSiHgCl2 (PBE)

Data for a relaxed structure of KSiHgCl2.

It has space group P4/mmm (No. 123), with a = 5.385 Å, b = 5.385 Å, c = 6.641 Å, α = 90.00°, β = 90.00° and γ = 90.00°. The inequivalent atoms are K at (0.000, 0.000, 0.000), Si at (0.500, 0.500, 0.000), Hg at (0.000, 0.000, 0.500) and Cl at (0.000, 0.500, 0.500).

The volume is 38.5 A^3/atom. The calculation puts the total energy at -1.9157 eV/atom. The total magnetization comes out at 2.183 μB per formula unit. The formation energy without anion corrections comes out at 18 kJ per mole of atoms.

# 4
## KSmHgCl6 (PBE)

Data for a relaxed structure of KSmHgCl6.

It has space group P-31c (No. 163), with a = 7.0673 Å, b = 7.0673 Å, c = 13.8330 Å, α = 90.00°, β = 90.00° and γ = 120.00°. The inequivalent atoms are K at (0.0000, 0.0000, 0.0000), Sm at (0.3333, 0.6667, 0.2500), Hg at (0.3333, 0.6667, 0.7500) and Cl at (0.0002, 0.3704, 0.1374).

The volume is 33.2 A^3/atom. The calculation puts the total energy at -3.5588 eV/atom. The total magnetization comes out at 0.000 μB per formula unit. The formation energy without anion corrections comes out at -159 kJ per mole of atoms.